{"formula": "Cd3In5", "functional": "PBEsol", "state": "optimized geometry", "lattice_angstrom": [[-5.765, 5.765, 2.930], [5.765, -5.765, 2.930], [5.765, 5.765, -2.930]], "species": ["Cd", "Cd", "Cd", "Cd", "Cd", "Cd", "In", "In", "In", "In", "In", "In", "In", "In", "In", "In"], "frac_coords": [[0.177, 0.677, 0.853], [0.250, 0.250, 0.000], [0.323, 0.177, 0.500], [0.677, 0.823, 0.500], [0.750, 0.750, 0.000], [0.823, 0.323, 0.147], [0.068, 0.232, 0.300], [0.232, 0.932, 0.164], [0.250, 0.750, 0.500], [0.268, 0.432, 0.700], [0.432, 0.732, 0.164], [0.568, 0.268, 0.836], [0.732, 0.568, 0.300], [0.750, 0.250, 0.500], [0.768, 0.068, 0.836], [0.932, 0.768, 0.700]], "polymorph_energy_ev_per_atom": 0.020, "e_tot_ev_per_atom": -2.264, "space_group": "No. 140", "e_form_ev_per_atom": 0.05}